Density functional theory data (PBE) for an optimized crystal structure of La2PmGa2Ag2.

Computed properties:
The calculation puts the formation energy at -0.4003 eV/atom. The value obtained for the total DFT energy (no corrections) is -87.491 eV/cell.

Unit cell a=4.6848 b=4.6848 c=27.5259 alpha=90.00 beta=90.00 gamma=120.00
Space group R-3m (No. 166, hexagonal axes)
One atom of each set of equivalent atoms:
1 La 0.0000 0.0000 0.1292 [6 per cell]
2 Pm 0.0000 0.0000 0.0000 [3 per cell]
3 Ga 0.0000 0.0000 0.2635 [6 per cell]
4 Ag 0.0000 0.0000 0.3965 [6 per cell]



Density functional theory data (PBE) for an optimized crystal structure of Li2ReRu.

Computed properties:
The calculation puts the formation energy at 0.1554 eV/atom. The energy relative to the lowest polymorph listed for this composition is 0.0 meV per atom. The value obtained for the total DFT energy (no corrections) is -49.860 eV/cell.

Unit cell a=4.192 b=4.192 c=5.953 alpha=90.00 beta=90.00 gamma=90.00
Space group I-4m2 (No. 119)
One atom of each set of equivalent atoms:
1 Li 0.000 0.000 0.000 [2 per cell]
2 Li 0.000 0.500 0.250 [2 per cell]
3 Re 0.000 0.000 0.500 [2 per cell]
4 Ru 0.000 0.500 0.750 [2 per cell]



Density functional theory data (PBE) for an optimized crystal structure of SbH3Ru.

Computed properties:
The energy relative to the lowest polymorph listed for this composition is 945.3 meV per atom. The value obtained for the total DFT energy (no corrections) is -17.202 eV/cell.

Unit cell a=3.871 b=3.871 c=3.871 alpha=90.00 beta=90.00 gamma=90.00
Space group Pm-3m (No. 221)
One atom of each set of equivalent atoms:
1 Sb 0.000 0.000 0.000 [1 per cell]
2 H 0.000 0.000 0.500 [3 per cell]
3 Ru 0.500 0.500 0.500 [1 per cell]



Density functional theory data (PBE) for an optimized crystal structure of Ce4GeTeP2.

Computed properties:
The value obtained for the formation energy without anion corrections is -122.4 kJ/mol of atoms. The value obtained for the total DFT energy (no corrections) is -52.463 eV/cell.

Unit cell a=7.297 b=4.200 c=7.375 alpha=90.00 beta=109.09 gamma=90.00
Space group P2/m (No. 10)
One atom of each set of equivalent atoms:
1 Ce 0.233 0.000 0.226 [2 per cell]
2 Ce 0.247 0.500 0.766 [2 per cell]
3 Ge 0.000 0.000 0.500 [1 per cell]
4 Te 0.500 0.500 0.500 [1 per cell]
5 P 0.000 0.500 0.000 [1 per cell]
6 P 0.500 0.000 0.000 [1 per cell]



Density functional theory data (PBE) for an optimized crystal structure of CuRuS3.

Computed properties:
The value obtained for the formation energy without anion corrections is 67.4 kJ/mol of atoms. The energy relative to the lowest polymorph listed for this composition is 0.0 meV per atom. The value obtained for the total DFT energy (no corrections) is -22.261 eV/cell.

Unit cell a=4.592 b=4.592 c=4.592 alpha=90.00 beta=90.00 gamma=90.00
Space group Pm-3m (No. 221)
One atom of each set of equivalent atoms:
1 Cu 0.000 0.000 0.000 [1 per cell]
2 Ru 0.500 0.500 0.500 [1 per cell]
3 S 0.000 0.500 0.500 [3 per cell]



Density functional theory data (PBE) for an optimized crystal structure of KAg4BrO2.

Computed properties:
The value obtained for the formation energy without anion corrections is -23.8 kJ/mol of atoms. The value obtained for the total DFT energy (no corrections) is -26.069 eV/cell.

Unit cell a=4.178 b=4.178 c=10.099 alpha=90.00 beta=90.00 gamma=90.00
Space group P4/mmm (No. 123)
One atom of each set of equivalent atoms:
1 K 0.000 0.000 0.000 [1 per cell]
2 Ag 0.000 0.500 0.274 [4 per cell]
3 Br 0.000 0.000 0.500 [1 per cell]
4 O 0.500 0.500 0.192 [2 per cell]



Density functional theory data (PBE) for an optimized crystal structure of NpGa2TcH6.

Computed properties:
The value obtained for the total DFT energy (no corrections) is -97.547 eV/cell.

Unit cell a=6.536 b=7.191 c=4.386 alpha=90.00 beta=90.00 gamma=90.00
Space group Pnnm (No. 58)
One atom of each set of equivalent atoms:
1 Np 0.000 0.000 0.000 [2 per cell]
2 Ga 0.035 0.285 0.500 [4 per cell]
3 Tc 0.000 0.500 0.000 [2 per cell]
4 H 0.144 0.710 0.000 [4 per cell]
5 H 0.208 0.433 0.233 [8 per cell]



Density functional theory data (PBE) for an optimized crystal structure of Sr6PtPb2.

Computed properties:
The calculation puts the formation energy at -0.5308 eV/atom. The value obtained for the total DFT energy (no corrections) is -56.652 eV/cell.

Unit cell a=7.530 b=8.850 c=13.324 alpha=90.00 beta=124.26 gamma=90.00
Space group P2_1/c (No. 14)
One atom of each set of equivalent atoms:
1 Sr 0.116 0.173 0.444 [4 per cell]
2 Sr 0.279 0.692 0.442 [4 per cell]
3 Sr 0.352 0.032 0.243 [4 per cell]
4 Pt 0.500 0.000 0.500 [2 per cell]
5 Pb 0.214 0.104 0.754 [4 per cell]



Density functional theory data (PBE) for an optimized crystal structure of KZr2O4.

Computed properties:
The value obtained for the formation energy without anion corrections is -265.0 kJ/mol of atoms. The energy relative to the lowest polymorph listed for this composition is 55.5 meV per atom. The value obtained for the total DFT energy (no corrections) is -229.014 eV/cell.

Unit cell a=6.770 b=6.770 c=9.563 alpha=90.00 beta=90.00 gamma=90.00
Space group I4_1/amd (No. 141, origin choice 2)
One atom of each set of equivalent atoms:
1 K 0.000 0.250 0.375 [4 per cell]
2 Zr 0.000 0.000 0.000 [8 per cell]
3 O 0.000 0.047 0.773 [16 per cell]



Density functional theory data (PBE) for an optimized crystal structure of TlSbOs2.

Computed properties:
The value obtained for the formation energy without anion corrections is 103.0 kJ/mol of atoms. The energy relative to the lowest polymorph listed for this composition is 599.4 meV per atom. The value obtained for the total DFT energy (no corrections) is -49.357 eV/cell.

Unit cell a=3.177 b=5.370 c=8.874 alpha=90.00 beta=90.00 gamma=90.00
Space group Cmmm (No. 65)
One atom of each set of equivalent atoms:
1 Tl 0.000 0.000 0.000 [2 per cell]
2 Sb 0.000 0.000 0.500 [2 per cell]
3 Os 0.000 0.500 0.267 [4 per cell]



Density functional theory data (PBE) for an optimized crystal structure of CaCuAg2.

Computed properties:
The calculation puts the formation energy at -0.0165 eV/atom. The energy relative to the lowest polymorph listed for this composition is 87.2 meV per atom. The value obtained for the total DFT energy (no corrections) is -11.866 eV/cell.

Unit cell a=3.679 b=4.433 c=5.411 alpha=90.00 beta=104.24 gamma=90.00
Space group P2/m (No. 10)
One atom of each set of equivalent atoms:
1 Ca 0.000 0.000 0.000 [1 per cell]
2 Cu 0.500 0.000 0.500 [1 per cell]
3 Ag 0.371 0.500 0.727 [2 per cell]



Density functional theory data (PBE) for an optimized crystal structure of Dy3Y6Tl.

Computed properties:
The calculation puts the formation energy at 0.0249 eV/atom. The energy relative to the lowest polymorph listed for this composition is 67.0 meV per atom. The value obtained for the total DFT energy (no corrections) is -218.831 eV/cell.

Unit cell a=10.934 b=18.878 c=6.162 alpha=90.00 beta=90.00 gamma=90.00
Space group Cmc2_1 (No. 36)
One atom of each set of equivalent atoms:
1 Dy 0.000 0.108 0.000 [4 per cell]
2 Dy 0.163 0.394 0.589 [8 per cell]
3 Y 0.000 0.234 0.378 [4 per cell]
4 Y 0.000 0.444 0.113 [4 per cell]
5 Y 0.162 0.049 0.520 [8 per cell]
6 Y 0.228 0.214 0.715 [8 per cell]
7 Tl 0.000 0.290 0.908 [4 per cell]



Density functional theory data (PBE) for an optimized crystal structure of CaHo2Mg9.

Computed properties:
The calculation puts the formation energy at -0.0413 eV/atom. The value obtained for the total DFT energy (no corrections) is -78.012 eV/cell.

Unit cell a=6.0707 b=6.0707 c=29.5519 alpha=90.00 beta=90.00 gamma=120.00
Space group R-3m (No. 166, hexagonal axes)
One atom of each set of equivalent atoms:
1 Ca 0.0000 0.0000 0.0000 [3 per cell]
2 Ho 0.0000 0.0000 0.1474 [6 per cell]
3 Mg 0.0000 0.0000 0.3343 [6 per cell]
4 Mg 0.0000 0.0000 0.5000 [3 per cell]
5 Mg 0.0051 0.5025 0.9146 [18 per cell]



Density functional theory data (PBE) for an optimized crystal structure of PrNd14Sm.

Computed properties:
The calculation puts the formation energy at -0.0001 eV/atom. The value obtained for the total DFT energy (no corrections) is -152.500 eV/cell.

Unit cell a=11.922 b=7.407 c=12.828 alpha=90.00 beta=90.00 gamma=90.00
Space group Amm2 (No. 38)
One atom of each set of equivalent atoms:
1 Pr 0.000 0.000 0.000 [2 per cell]
2 Nd 0.000 0.249 0.250 [4 per cell]
3 Nd 0.249 0.000 0.667 [4 per cell]
4 Nd 0.250 0.250 0.417 [8 per cell]
5 Nd 0.251 0.000 0.167 [4 per cell]
6 Nd 0.500 0.000 0.334 [2 per cell]
7 Nd 0.500 0.000 0.833 [2 per cell]
8 Nd 0.500 0.250 0.083 [4 per cell]
9 Sm 0.000 0.000 0.500 [2 per cell]



Density functional theory data (PBE) for an optimized crystal structure of CaYRh2.

Computed properties:
The calculation puts the formation energy at -0.2104 eV/atom. The energy relative to the lowest polymorph listed for this composition is 414.6 meV per atom. The value obtained for the total DFT energy (no corrections) is -96.040 eV/cell.

Unit cell a=7.424 b=7.424 c=6.262 alpha=90.00 beta=90.00 gamma=90.00
Space group I-42d (No. 122)
One atom of each set of equivalent atoms:
1 Ca 0.000 0.000 0.000 [4 per cell]
2 Y 0.000 0.000 0.500 [4 per cell]
3 Rh 0.242 0.250 0.625 [8 per cell]



Density functional theory data (PBE) for an optimized crystal structure of AlOs2Au.

Computed properties:
The calculation puts the formation energy at -0.0455 eV/atom. The value obtained for the total DFT energy (no corrections) is -29.662 eV/cell.

Unit cell a=2.830 b=2.830 c=7.571 alpha=90.00 beta=90.00 gamma=90.00
Space group P4mm (No. 99)
One atom of each set of equivalent atoms:
1 Al 0.000 0.000 0.000 [1 per cell]
2 Os 0.000 0.000 0.540 [1 per cell]
3 Os 0.500 0.500 0.763 [1 per cell]
4 Au 0.500 0.500 0.254 [1 per cell]



Density functional theory data (PBE) for an optimized crystal structure of Ce6SmPb10.

Computed properties:
The calculation puts the formation energy at -0.3344 eV/atom. The value obtained for the total DFT energy (no corrections) is -83.091 eV/cell.

Unit cell a=9.5720 b=9.5720 c=6.5472 alpha=90.00 beta=90.00 gamma=120.00
Space group P-31m (No. 162)
One atom of each set of equivalent atoms:
1 Ce 0.0000 0.3845 0.2361 [6 per cell]
2 Sm 0.0000 0.0000 0.0000 [1 per cell]
3 Pb 0.0000 0.2704 0.7136 [6 per cell]
4 Pb 0.3333 0.6667 0.0000 [2 per cell]
5 Pb 0.3333 0.6667 0.5000 [2 per cell]



Density functional theory data (PBE) for an optimized crystal structure of TiCdI3.

Computed properties:
The value obtained for the formation energy without anion corrections is -30.1 kJ/mol of atoms. The value obtained for the total DFT energy (no corrections) is -15.021 eV/cell.

Unit cell a=5.631 b=5.631 c=5.631 alpha=90.00 beta=90.00 gamma=90.00
Space group Pm-3m (No. 221)
One atom of each set of equivalent atoms:
1 Ti 0.000 0.000 0.000 [1 per cell]
2 Cd 0.500 0.500 0.500 [1 per cell]
3 I 0.000 0.000 0.500 [3 per cell]



Density functional theory data (PBE) for an optimized crystal structure of CdRePdW2.

Computed properties:
The calculation puts the formation energy at 3.0606 eV/atom. The value obtained for the total DFT energy (no corrections) is -29.159 eV/cell.

Unit cell a=4.787 b=4.787 c=4.760 alpha=90.00 beta=90.00 gamma=90.00
Space group P4/mmm (No. 123)
One atom of each set of equivalent atoms:
1 Cd 0.000 0.000 0.000 [1 per cell]
2 Re 0.000 0.000 0.500 [1 per cell]
3 Pd 0.500 0.500 0.500 [1 per cell]
4 W 0.000 0.500 0.000 [2 per cell]



Density functional theory data (PBE) for an optimized crystal structure of Nd2Cd5In.

Computed properties:
The calculation puts the formation energy at -0.3017 eV/atom. The energy relative to the lowest polymorph listed for this composition is 0.0 meV per atom. The value obtained for the total DFT energy (no corrections) is -38.526 eV/cell.

Unit cell a=6.582 b=6.582 c=9.522 alpha=90.00 beta=90.00 gamma=90.00
Space group I4/mmm (No. 139)
One atom of each set of equivalent atoms:
1 Nd 0.000 0.500 0.000 [4 per cell]
2 Cd 0.000 0.000 0.000 [2 per cell]
3 Cd 0.250 0.250 0.250 [8 per cell]
4 In 0.000 0.000 0.500 [2 per cell]